Record 1
A plane-wave DFT calculation with GGA-PBE was carried out for a relaxed PmTaAu crystal.

DFT formation energy, meV per atom: 1109
Symmetry: F-43m (216)
Magnetic moment, μB/f.u.: 2.13
E, eV per atom: -5.513

```
PmTaAu
1.0
0.000 3.414 3.414
3.414 0.000 3.414
3.414 3.414 0.000
Pm Ta Au
1 1 1
direct
0.000 0.000 0.000
0.250 0.250 0.250
0.750 0.750 0.750
```


Record 2
A plane-wave DFT calculation with GGA-PBE was carried out for a relaxed Zr4GaNiC2 crystal.

Symmetry: P-6m2 (187)
Magnetic moment, μB/f.u.: 0.01
E, eV per atom: -8.248

```
Zr4GaNiC2
1.0
3.328 0.000 0.000
-1.664 2.882 0.000
0.000 0.000 13.614
Zr Ga Ni C
4 1 1 2
direct
0.000 0.000 0.141
0.000 0.000 0.859
0.333 0.667 0.332
0.333 0.667 0.668
0.000 0.000 0.500
0.333 0.667 0.000
0.667 0.333 0.240
0.667 0.333 0.760
```


Record 3
A plane-wave DFT calculation with GGA-PBE was carried out for a relaxed ThH2 crystal.

Symmetry: Fd-3m (227)
Magnetic moment, μB/f.u.: 0.96
E, eV per atom: -4.110

```
ThH2
1.0
0.000 4.721 4.721
4.721 0.000 4.721
4.721 4.721 0.000
Th H
2 4
direct
0.125 0.125 0.125
0.875 0.875 0.875
0.000 0.000 0.000
0.000 0.000 0.500
0.000 0.500 0.000
0.500 0.000 0.000
```


Record 4
A plane-wave DFT calculation with GGA-PBE was carried out for a relaxed Sc2AlIr crystal.

Symmetry: F-43m (216)
Magnetic moment, μB/f.u.: 0.00
E, eV per atom: -7.029

```
Sc2AlIr
1.0
0.000 3.245 3.245
3.245 0.000 3.245
3.245 3.245 0.000
Sc Al Ir
2 1 1
direct
0.000 0.000 0.000
0.250 0.250 0.250
0.500 0.500 0.500
0.750 0.750 0.750
```


Among the records above, which one has the lowest magnetic moment?
Sc2AlIr


Which formula does entry 3 have?
ThH2


Which value of magnetic moment does entry 3 give?
0.96 μB/f.u.


magnetic moment of number 3 (ThH2)?
0.96 μB/f.u.